1.
# Cd2FeSb meta-GGA SCAN single point on PBEsol structure
# **Total energy**: -28.833 eV per atom
# **Formation energy (no corrections)**: 0.222 eV/atom
data_Cd2FeSb
_chemical_formula_sum 'Cd4 Fe2 Sb2'
_cell_length_a 2.9125
_cell_length_b 4.1209
_cell_length_c 13.0138
_cell_angle_alpha 90.00
_cell_angle_beta 90.00
_cell_angle_gamma 90.00
_space_group_name_H-M_alt 'I m m m'
_space_group_IT_number 71
_space_group_name_Hall '-I 2 2'
loop_
_atom_site_label
_atom_site_fract_x
_atom_site_fract_y
_atom_site_fract_z
Cd1 0.0000 0.0000 0.1872
Fe1 0.0000 0.5000 0.5000
Sb1 0.0000 0.5000 0.0000

---

2.
# Na2Tl2Pt meta-GGA SCAN single point on PBEsol structure
# **Total energy**: -44.824 eV per atom
# **Calculated formation energy**: -0.16 eV per atom
data_Na2Tl2Pt
_chemical_formula_sum 'Na4 Tl4 Pt2'
_cell_length_a 7.0798
_cell_length_b 7.0798
_cell_length_c 5.0607
_cell_angle_alpha 90.00
_cell_angle_beta 90.00
_cell_angle_gamma 90.00
_space_group_name_H-M_alt 'P 4/m b m'
_space_group_IT_number 127
_space_group_name_Hall '-P 4 2ab'
loop_
_atom_site_label
_atom_site_fract_x
_atom_site_fract_y
_atom_site_fract_z
Na1 0.1748 0.3252 0.0000
Tl1 0.1497 0.6497 0.5000
Pt1 0.0000 0.0000 0.5000

---

3.
# AlPbSe2 meta-GGA SCAN single point on PBEsol structure
# **Total energy**: -30.979 eV per atom
# **Formation energy (no corrections)**: -0.056 eV/atom
data_AlPbSe2
_chemical_formula_sum 'Al1 Pb1 Se2'
_cell_length_a 5.0040
_cell_length_b 5.0040
_cell_length_c 3.5447
_cell_angle_alpha 90.00
_cell_angle_beta 90.00
_cell_angle_gamma 90.00
_space_group_name_H-M_alt 'P 4/m m m'
_space_group_IT_number 123
_space_group_name_Hall '-P 4 2'
loop_
_atom_site_label
_atom_site_fract_x
_atom_site_fract_y
_atom_site_fract_z
Al1 0.0000 0.0000 0.0000
Pb1 0.5000 0.5000 0.0000
Se1 0.0000 0.5000 0.5000

---

4.
# CdCu2Ir meta-GGA SCAN single point on PBEsol structure
# **Total energy**: -32.743 eV per atom
# **Calculated formation energy**: 0.23 eV per atom
data_CdCu2Ir
_chemical_formula_sum 'Cd2 Cu4 Ir2'
_cell_length_a 2.8060
_cell_length_b 4.5588
_cell_length_c 8.8702
_cell_angle_alpha 90.00
_cell_angle_beta 90.00
_cell_angle_gamma 90.00
_space_group_name_H-M_alt 'C m m m'
_space_group_IT_number 65
_space_group_name_Hall '-C 2 2'
loop_
_atom_site_label
_atom_site_fract_x
_atom_site_fract_y
_atom_site_fract_z
Cd1 0.0000 0.0000 0.0000
Cu1 0.0000 0.5000 0.2596
Ir1 0.0000 0.0000 0.5000

---

5.
# CsCd2H meta-GGA SCAN single point on PBEsol structure
# **Total energy**: -25.034 eV per atom
data_CsCd2H
_chemical_formula_sum 'Cs4 Cd8 H4'
_cell_length_a 8.0099
_cell_length_b 8.0099
_cell_length_c 8.0099
_cell_angle_alpha 90.00
_cell_angle_beta 90.00
_cell_angle_gamma 90.00
_space_group_name_H-M_alt 'F m -3 m'
_space_group_IT_number 225
_space_group_name_Hall '-F 4 2 3'
loop_
_atom_site_label
_atom_site_fract_x
_atom_site_fract_y
_atom_site_fract_z
Cs1 0.0000 0.0000 0.0000
Cd1 0.2500 0.2500 0.2500
H1 0.0000 0.0000 0.5000

---

6.
# K3SrPCO7 meta-GGA SCAN single point on PBEsol structure
# **Total energy**: -11.024 eV per atom
# **Formation energy (no corrections)**: -2.456 eV/atom
data_K3SrPCO7
_chemical_formula_sum 'K6 Sr2 P2 C2 O14'
_cell_length_a 5.6115
_cell_length_b 7.4389
_cell_length_c 9.9528
_cell_angle_alpha 90.00
_cell_angle_beta 91.00
_cell_angle_gamma 90.00
_space_group_name_H-M_alt 'P 1 21/m 1'
_space_group_IT_number 11
loop_
_space_group_symop_operation_xyz
'x,y,z'
'-x,-y,-z'
'-x,y+1/2,-z'
'x,-y+1/2,z'
loop_
_atom_site_label
_atom_site_fract_x
_atom_site_fract_y
_atom_site_fract_z
K1 0.2420 0.2500 0.4170
K2 0.2534 0.5028 0.7516
Sr1 0.2246 0.7500 0.1221
P1 0.2979 0.2500 0.0915
C1 0.2517 0.7500 0.4256
O1 0.0456 0.7500 0.3637
O2 0.2028 0.2500 0.9433
O3 0.2131 0.0798 0.1682
O4 0.2635 0.7500 0.5556
O5 0.4247 0.7500 0.9108
O6 0.4457 0.7500 0.3557

---

7.
# Mg2ZnPb meta-GGA SCAN single point on PBEsol structure
# **Total energy**: -24.875 eV per atom
# **Calculated formation energy**: -0.06 eV per atom
data_Mg2ZnPb
_chemical_formula_sum 'Mg4 Zn2 Pb2'
_cell_length_a 6.3623
_cell_length_b 8.2710
_cell_length_c 3.2869
_cell_angle_alpha 90.00
_cell_angle_beta 90.00
_cell_angle_gamma 90.00
_space_group_name_H-M_alt 'C m m m'
_space_group_IT_number 65
_space_group_name_Hall '-C 2 2'
loop_
_atom_site_label
_atom_site_fract_x
_atom_site_fract_y
_atom_site_fract_z
Mg1 0.2500 0.2500 0.0000
Zn1 0.0000 0.0000 0.5000
Pb1 0.0000 0.5000 0.5000

---

8.
# LiCoPO4 meta-GGA SCAN single point on PBEsol structure
# **Total energy**: -10.076 eV per atom
# **Formation energy (no corrections)**: -2.216 eV/atom
# **Energy relative to the lowest polymorph listed for this composition**: 0.011 eV per atom
data_LiCoPO4
_chemical_formula_sum 'Li2 Co2 P2 O8'
_cell_length_a 4.7483
_cell_length_b 4.7483
_cell_length_c 7.2939
_cell_angle_alpha 90.00
_cell_angle_beta 90.00
_cell_angle_gamma 90.00
_space_group_name_H-M_alt 'I -4'
_space_group_IT_number 82
loop_
_space_group_symop_operation_xyz
'x,y,z'
'y,-x,-z'
'-x,-y,z'
'-y,x,-z'
'x+1/2,y+1/2,z+1/2'
'y+1/2,-x+1/2,-z+1/2'
'-x+1/2,-y+1/2,z+1/2'
'-y+1/2,x+1/2,-z+1/2'
loop_
_atom_site_label
_atom_site_fract_x
_atom_site_fract_y
_atom_site_fract_z
Li1 0.0000 0.0000 0.0000
Co1 0.0000 0.0000 0.5000
P1 0.0000 0.5000 0.7500
O1 0.1877 0.3064 0.6299

---

9.
# AlTc2Os meta-GGA SCAN single point on PBEsol structure
# **Total energy**: -37.539 eV per atom
# **Calculated formation energy**: -0.10 eV per atom
data_AlTc2Os
_chemical_formula_sum 'Al3 Tc6 Os3'
_cell_length_a 2.7425
_cell_length_b 2.7425
_cell_length_c 26.0045
_cell_angle_alpha 90.00
_cell_angle_beta 90.00
_cell_angle_gamma 120.00
_space_group_name_H-M_alt 'R -3 m'
_space_group_IT_number 166
_space_group_name_Hall '-R 3 2"'
loop_
_atom_site_label
_atom_site_fract_x
_atom_site_fract_y
_atom_site_fract_z
Al1 0.0000 0.0000 0.0000
Tc1 0.0000 0.0000 0.2489
Os1 0.0000 0.0000 0.5000

---

10.
# Ba2LaPb meta-GGA SCAN single point on PBEsol structure
# **Total energy**: -49.705 eV per atom
# **Calculated formation energy**: -0.21 eV per atom
data_Ba2LaPb
_chemical_formula_sum 'Ba2 La1 Pb1'
_cell_length_a 3.8611
_cell_length_b 3.8611
_cell_length_c 10.8893
_cell_angle_alpha 90.00
_cell_angle_beta 90.00
_cell_angle_gamma 90.00
_space_group_name_H-M_alt 'P 4/m m m'
_space_group_IT_number 123
_space_group_name_Hall '-P 4 2'
loop_
_atom_site_label
_atom_site_fract_x
_atom_site_fract_y
_atom_site_fract_z
Ba1 0.0000 0.0000 0.2167
La1 0.5000 0.5000 0.5000
Pb1 0.5000 0.5000 0.0000

---

11.
# Ta3HgH meta-GGA SCAN single point on PBEsol structure
# **Total energy**: -54.206 eV per atom
data_Ta3HgH
_chemical_formula_sum 'Ta3 Hg1 H1'
_cell_length_a 4.1743
_cell_length_b 4.1743
_cell_length_c 4.1743
_cell_angle_alpha 90.00
_cell_angle_beta 90.00
_cell_angle_gamma 90.00
_space_group_name_H-M_alt 'P m -3 m'
_space_group_IT_number 221
_space_group_name_Hall '-P 4 2 3'
loop_
_atom_site_label
_atom_site_fract_x
_atom_site_fract_y
_atom_site_fract_z
Ta1 0.0000 0.0000 0.5000
Hg1 0.5000 0.5000 0.5000
H1 0.0000 0.0000 0.0000

---

12.
# BeP2Pt meta-GGA SCAN single point on PBEsol structure
# **Total energy**: -23.844 eV per atom
# **Calculated formation energy**: -0.01 eV per atom
data_BeP2Pt
_chemical_formula_sum 'Be4 P8 Pt4'
_cell_length_a 4.7720
_cell_length_b 4.8423
_cell_length_c 8.9927
_cell_angle_alpha 90.00
_cell_angle_beta 90.00
_cell_angle_gamma 90.00
_space_group_name_H-M_alt 'F m m m'
_space_group_IT_number 69
_space_group_name_Hall '-F 2 2'
loop_
_atom_site_label
_atom_site_fract_x
_atom_site_fract_y
_atom_site_fract_z
Be1 0.0000 0.0000 0.0000
P1 0.2500 0.0000 0.2500
Pt1 0.0000 0.0000 0.5000

---

13.
# TeAsBr2Cl meta-GGA SCAN single point on PBEsol structure
# **Total energy**: -20.555 eV per atom
# **Formation energy (no corrections)**: 0.312 eV/atom
data_TeAsBr2Cl
_chemical_formula_sum 'Te1 As1 Br2 Cl1'
_cell_length_a 5.3630
_cell_length_b 5.3630
_cell_length_c 5.5920
_cell_angle_alpha 90.00
_cell_angle_beta 90.00
_cell_angle_gamma 90.00
_space_group_name_H-M_alt 'P 4/m m m'
_space_group_IT_number 123
_space_group_name_Hall '-P 4 2'
loop_
_atom_site_label
_atom_site_fract_x
_atom_site_fract_y
_atom_site_fract_z
Te1 0.0000 0.0000 0.0000
As1 0.0000 0.0000 0.5000
Br1 0.0000 0.5000 0.0000
Cl1 0.5000 0.5000 0.5000

---

14.
# CoTc2Ru meta-GGA SCAN single point on PBEsol structure
# **Total energy**: -30.293 eV per atom
# **Energy relative to the lowest polymorph listed for this composition**: 0.251 eV per atom
# **Calculated formation energy**: 0.27 eV per atom
data_CoTc2Ru
_chemical_formula_sum 'Co1 Tc2 Ru1'
_cell_length_a 3.0553
_cell_length_b 3.0553
_cell_length_c 5.5582
_cell_angle_alpha 90.00
_cell_angle_beta 90.00
_cell_angle_gamma 90.00
_space_group_name_H-M_alt 'P 4 m m'
_space_group_IT_number 99
loop_
_space_group_symop_operation_xyz
'x,y,z'
'-y,x,z'
'-x,-y,z'
'y,-x,z'
'-x,y,z'
'y,x,z'
'x,-y,z'
'-y,-x,z'
loop_
_atom_site_label
_atom_site_fract_x
_atom_site_fract_y
_atom_site_fract_z
Co1 0.0000 0.0000 0.0000
Tc1 0.0000 0.0000 0.5256
Tc2 0.5000 0.5000 0.8041
Ru1 0.5000 0.5000 0.2499

---

no.,spin magnetization (μB per formula unit)
1,1.99
2,0.00
3,0.00
4,0.00
5,0.00
6,0.01
7,0.00
8,3.00
9,0.00
10,0.01
11,0.00
12,0.00
13,1.28
14,0.00